Below is an optimized crystal structure of ZnRuPb2, with properties calculated at the PBE level.

The calculation puts the uncorrected energy at -4.25 eV per atom.

It has space group Amm2 (No. 38), with a = 4.532 Å, b = 3.622 Å, c = 10.286 Å, α = 90.00°, β = 90.00° and γ = 90.00°. The distinct sites, in fractional coordinates, are Zn at (0.000, 0.000, 0.000), Ru at (0.500, 0.000, 0.867), Pb at (0.000, 0.000, 0.279) and Pb at (0.500, 0.000, 0.584).

---

Below is an optimized crystal structure of ZnRuPb2, with properties calculated at the PBE level.

The calculation puts the uncorrected energy at -4.20 eV per atom.

It has space group Cm (No. 8), with a = 8.653 Å, b = 3.412 Å, c = 6.442 Å, α = 90.00°, β = 101.50° and γ = 90.00°. The distinct sites, in fractional coordinates, are Zn at (0.000, 0.000, 0.000), Ru at (0.225, 0.500, 0.107), Pb at (0.240, 0.000, 0.748) and Pb at (0.453, 0.000, 0.358).